No. 1
The following is a PBE calculation of crystalline SrLi2 at its relaxed geometry, from Alexandria.

- Energy of formation from the pure elements: 0.06 eV/atom

a = 6.727 Å, b = 6.727 Å, c = 7.991 Å
α = 110.27°, β = 110.27°, γ = 34.99°
Fractional coordinates of all 6 atoms:
Sr  0.162  0.162  0.132
Sr  0.838  0.838  0.868
Li  0.134  0.134  0.546
Li  0.474  0.474  0.284
Li  0.526  0.526  0.716
Li  0.866  0.866  0.454


No. 2
The following is a PBE calculation of crystalline Sr3Li4 at its relaxed geometry, from Alexandria.

- Energy of formation from the pure elements: 0.03 eV/atom

a = 15.428 Å, b = 15.428 Å, c = 15.428 Å
α = 165.02°, β = 165.02°, γ = 21.25°
Fractional coordinates of all 7 atoms:
Sr  0.000  0.000  0.000
Sr  0.303  0.303  0.000
Sr  0.697  0.697  0.000
Li  0.118  0.118  0.000
Li  0.422  0.422  0.000
Li  0.578  0.578  0.000
Li  0.882  0.882  0.000